The following is a PBE calculation of an optimized crystal structure of Na3Sb2Pd5, from Alexandria via LeMat-Bulk.

Cell lengths 10.429, 12.977, 5.857 Å; angles 90.00, 96.32, 90.00 degrees
Space group C2/c (No. 15)
Inequivalent atoms, fractional coordinates:
Na  0.000  0.023  0.250 (multiplicity 4)
Na  0.109  0.241  0.080 (multiplicity 8)
Sb  0.181  0.145  0.607 (multiplicity 8)
Pd  0.000  0.465  0.250 (multiplicity 4)
Pd  0.120  0.347  0.634 (multiplicity 8)
Pd  0.223  0.460  0.024 (multiplicity 8)

Results
The total energy is -4.09 eV per atom. The value obtained for the uncorrected formation energy is -0.2716 eV per atom. The spin magnetization is 0.00 μB per cell.